# NdGeB, optimized geometry, DFT PBE
data_NdGeB
_chemical_formula_sum 'Nd2 Ge2 B2'
_symmetry_space_group_name_H-M 'P 1'
_symmetry_Int_Tables_number 1
_cell_length_a 5.9419
_cell_length_b 5.9419
_cell_length_c 8.5696
_cell_angle_alpha 128.27
_cell_angle_beta 128.27
_cell_angle_gamma 31.77
loop_
_symmetry_equiv_pos_as_xyz
'x,y,z'
loop_
_atom_site_label
_atom_site_fract_x
_atom_site_fract_y
_atom_site_fract_z
Nd1 0.0345 0.0345 0.2748
Nd2 0.9655 0.9655 0.7252
Ge1 0.3379 0.3379 0.3456
Ge2 0.6621 0.6621 0.6544
B1 0.2698 0.2698 0.0472
B2 0.7302 0.7302 0.9528
# Magnetization (μB/f.u.): 0.00
# E (hartree per atom): -0.205
# Space group: C2/m (12)
# Density (kg/m3): 6204
# Offset from the most stable computed form (kcal/mol of atoms): 5.69